The following is a PBE calculation of an optimized crystal structure of BaOsW2, from Alexandria.

CIF file:
```
data_BaOsW2
_symmetry_space_group_name_H-M 'P 1'
_symmetry_Int_Tables_number 1
_cell_length_a 4.910
_cell_length_b 4.910
_cell_length_c 3.102
_cell_angle_alpha 90.00
_cell_angle_beta 90.00
_cell_angle_gamma 90.00
loop_
_symmetry_equiv_pos_as_xyz
'x,y,z'
loop_
_atom_site_label
_atom_site_type_symbol
_atom_site_fract_x
_atom_site_fract_y
_atom_site_fract_z
Ba1 Ba 0.000 0.000 0.000
Os1 Os 0.500 0.500 0.000
W1 W 0.000 0.500 0.500
W2 W 0.500 0.000 0.500
```

E above lowest polymorph in eV per atom: 0.869
Formation enthalpy at 0 K in eV per atom: 1.66
Calculated volume in Å³ per cell: 74.8
Final energy in eV/atom: -8.103